The following is a DFT calculation (PBE) of BaSrIn after structural relaxation.

**Crystal system**: trigonal
**ΔH_f (0 K)**: -0.186 eV/atom
**ρ**: 4.40 Mg/m³
**Total DFT energy (no corrections)**: -6.90 eV for the cell shown

a b c (Å): 5.891 5.891 4.263
angles (deg): 90.00 90.00 120.00
Positions (direct):
Ba (0.000, 0.000, 0.000)
Sr (0.333, 0.667, 0.548)
In (0.667, 0.333, 0.373)

The following is a DFT calculation (PBE) of Ba12SrIn6 after structural relaxation.

**Crystal system**: trigonal
**ΔH_f (0 K)**: -0.140 eV/atom
**ρ**: 4.51 Mg/m³
**Total DFT energy (no corrections)**: -43.85 eV for the cell shown

a b c (Å): 10.747 10.747 10.747
angles (deg): 111.11 111.11 111.11
Positions (direct):
Ba (0.092, 0.181, 0.722)
Ba (0.181, 0.722, 0.092)
Ba (0.185, 0.384, 0.502)
Ba (0.278, 0.908, 0.819)
Ba (0.384, 0.502, 0.185)
Ba (0.498, 0.815, 0.616)
Ba (0.502, 0.185, 0.384)
Ba (0.616, 0.498, 0.815)
Ba (0.722, 0.092, 0.181)
Ba (0.815, 0.616, 0.498)
Ba (0.819, 0.278, 0.908)
Ba (0.908, 0.819, 0.278)
Sr (0.000, 0.000, 0.000)
In (0.066, 0.588, 0.333)
In (0.333, 0.066, 0.588)
In (0.412, 0.667, 0.934)
In (0.588, 0.333, 0.066)
In (0.667, 0.934, 0.412)
In (0.934, 0.412, 0.667)

> Which formula does entry 1 have?

BaSrIn

> Which of these has the highest ΔH_f (0 K)?

Ba12SrIn6

> What is the ΔH_f (0 K) in the second record?

-0.140 eV/atom